PBE-GGA LiNdTe2O6, relaxed; volume = 17.97 Å³ per atom; DFT total energy = -0.223 hartree per atom; formation energy (no corrections) = -1.79 eV/atom; space group = No. 15
1.0
-4.0963 -5.1666 0.6578
4.6053 -2.5110 5.1822
-3.5831 3.9679 5.0780
Li Nd Te O
2 2 4 12
direct
0.2500 0.1873 0.8127
0.7500 0.8127 0.1873
0.2500 0.8536 0.1464
0.7500 0.1464 0.8536
0.3228 0.8502 0.6345
0.1772 0.3655 0.1498
0.6772 0.1498 0.3655
0.8228 0.6345 0.8502
0.1481 0.9075 0.8286
0.3519 0.1714 0.0925
0.8519 0.0925 0.1714
0.6481 0.8286 0.9075
0.5593 0.9050 0.3483
0.9407 0.6517 0.0950
0.4407 0.0950 0.6517
0.0593 0.3483 0.9050
0.1336 0.8568 0.4363
0.3664 0.5637 0.1432
0.8664 0.1432 0.5637
0.6336 0.4363 0.8568



PBE-GGA LiNd2TiO6, relaxed; volume = 12.29 Å³ per atom; DFT total energy = -0.286 hartree per atom; formation energy (no corrections) = -2.88 eV/atom; space group = No. 14
1.0
5.4445 0.0000 -0.0798
0.0000 5.8466 0.0000
-0.0659 0.0000 7.7226
Li Nd Ti O
2 4 2 12
direct
0.5000 0.0000 0.5000
0.0000 0.5000 0.0000
0.0186 0.9270 0.2478
0.5186 0.5730 0.7478
0.9814 0.0730 0.7522
0.4814 0.4270 0.2522
0.5000 0.0000 0.0000
0.0000 0.5000 0.5000
0.3204 0.7126 0.0532
0.8204 0.7874 0.5532
0.6796 0.2874 0.9468
0.1796 0.2126 0.4468
0.2947 0.6817 0.4529
0.7947 0.8183 0.9529
0.7053 0.3183 0.5471
0.2053 0.1817 0.0471
0.9009 0.5324 0.2564
0.4009 0.9676 0.7564
0.0991 0.4676 0.7436
0.5991 0.0324 0.2436



PBE-GGA LiNd12Tl4O3, relaxed; volume = 26.73 Å³ per atom; DFT total energy = -0.186 hartree per atom; formation energy (no corrections) = -0.88 eV/atom; space group = No. 229
1.0
-4.7988 7.2344 -1.7476
-5.4028 -6.6746 2.1629
5.4904 1.6585 6.7472
Li Nd Tl O
1 12 4 3
direct
0.0000 0.0000 0.0000
0.2500 0.5000 0.7500
0.7351 0.0000 0.7351
0.2649 0.0000 0.2649
0.7500 0.5000 0.2500
0.7351 0.7351 0.0000
0.2649 0.2649 0.0000
0.7500 0.2500 0.5000
0.2500 0.7500 0.5000
0.5000 0.2500 0.7500
0.0000 0.7351 0.7351
0.5000 0.7500 0.2500
0.0000 0.2649 0.2649
0.5000 0.5000 0.5000
0.0000 0.0000 0.5000
0.5000 0.0000 0.0000
0.0000 0.5000 0.0000
0.5000 0.0000 0.5000
0.5000 0.5000 0.0000
0.0000 0.5000 0.5000



PBE-GGA LiNd2TlO5, relaxed; volume = 13.57 Å³ per atom; DFT total energy = -0.241 hartree per atom; formation energy (no corrections) = -2.28 eV/atom; space group = No. 36
1.0
3.5221 0.0000 0.0000
-1.7610 7.0325 0.0000
0.0000 0.0000 9.8620
Li Nd Tl O
2 4 2 10
direct
0.7706 0.5412 0.5019
0.2294 0.4588 0.0019
0.8714 0.7429 0.8000
0.1299 0.2599 0.6803
0.1286 0.2571 0.3000
0.8701 0.7401 0.1803
0.5709 0.1418 0.9828
0.4291 0.8582 0.4828
0.3607 0.7213 0.0010
0.6996 0.3993 0.8363
0.5047 0.0094 0.7837
0.3040 0.6080 0.6484
0.9688 0.9376 0.5895
0.6393 0.2787 0.5010
0.3004 0.6007 0.3363
0.4953 0.9906 0.2837
0.6960 0.3920 0.1484
0.0312 0.0624 0.0895



Look up the volume of the first one.
17.97 Å³ per atom



Which of these has the highest DFT total energy?
LiNd12Tl4O3